Record 1
LiNdGe2 | Alexandria via LeMat-Bulk | PBE-GGA | optimized geometry; DOS at the Fermi energy = 2.6 states/eV per cell; SG = P4/mmm (123); final energy = -4.405 eV/atom; formation energy = -0.426 eV per atom; total magnetic moment = 0.00 μB per cell
1.0
-0.0210 -3.4379 0.3239
1.6628 -0.2940 -3.0122
5.9163 0.2691 3.2396
Ge Nd Li
2 1 1
direct
0.0000 0.0000 0.1962
0.0000 0.0000 0.8038
0.5000 0.5000 0.5000
0.5000 0.5000 0.0000

---

Record 2
Lu2InAu | Alexandria via LeMat-Bulk | PBE-GGA | optimized geometry; DOS at the Fermi energy = 3.7 states/eV per cell; SG = R-3m (166); final energy = -4.259 eV/atom; formation energy = -0.494 eV per atom; total magnetic moment = 0.00 μB per cell
1.0
3.7326 0.0000 0.0000
1.8663 3.2325 0.0000
1.8663 1.0775 8.6508
In Lu Au
1 2 1
direct
0.5000 0.5000 0.5000
0.7407 0.7407 0.7778
0.2593 0.2593 0.2222
0.0000 0.0000 0.0000

---

Record 3
Mg3Si4 | Alexandria via LeMat-Bulk | PBE-GGA | optimized geometry; DOS at the Fermi energy = 3.8 states/eV per cell; SG = Cm (8); final energy = -3.721 eV/atom; total magnetic moment = 0.00 μB per cell; formation energy (no corrections) = 61.8 meV/atom
1.0
1.9018 7.9249 -0.1046
-1.9018 7.9249 -0.1046
0.0000 4.4877 8.7348
Mg Si
6 8
direct
0.1850 0.1850 0.4680
0.4032 0.4032 0.4110
0.0260 0.0260 0.1183
0.3774 0.3774 0.0592
0.8717 0.8717 0.7285
0.6783 0.6783 0.2055
0.7710 0.7710 0.5628
0.5211 0.5211 0.5588
0.6610 0.6610 0.9318
0.0049 0.0049 0.8409
0.6042 0.6042 0.7359
0.2467 0.2467 0.9510
0.0432 0.0432 0.3900
0.8229 0.8229 0.2916

---

Record 4
Li2CrTc | Alexandria via LeMat-Bulk | PBE-GGA | optimized geometry; DOS at the Fermi energy = 2.5 states/eV per cell; SG = Cm (8); final energy = -5.621 eV/atom; formation energy = 0.333 eV per atom; total magnetic moment = 0.00 μB per cell
1.0
4.4872 -0.0001 0.0061
3.8381 2.3247 0.0061
0.0971 0.0271 5.2863
Tc Li Cr
1 2 1
direct
0.4962 0.4962 0.4665
0.9998 0.9998 0.9865
0.7501 0.7501 0.7630
0.2539 0.2539 0.2840